Record 1
This record from Alexandria describes crystalline Pr7Al2In2 at its relaxed geometry. The functional is PBE-GGA.

Unit cell a=7.8466 b=11.2915 c=8.2560 alpha=90.00 beta=90.00 gamma=90.00
Last column: nearest neighbours and their distance in Å.
Space group Cmmm (No. 65)
Inequivalent atoms, fractional coordinates:
Pr 0.0000 0.0000 0.0000 x2  2 In 3.34
Pr 0.0000 0.5000 0.2768 x4  2 Al 3.21, 2 In 3.25, 4 Pr 3.44
Pr 0.2500 0.2500 0.2973 x8  2 In 3.18, 3 Pr 3.35-3.44, 2 Al 3.35
Al 0.1647 0.0000 0.5000 x4  1 Al 2.58
In 0.0000 0.2960 0.0000 x4  7 Pr 3.18-3.34

=====

Record 2
This record from Alexandria describes crystalline Pr6Al2In at its relaxed geometry. The functional is PBE-GGA.

The value obtained for the polymorph energy (0 for the lowest one) is 0 meV per atom.

Unit cell a=10.1511 b=10.2225 c=10.9973 alpha=90.00 beta=90.00 gamma=90.00
Last column: nearest neighbours and their distance in Å.
Space group Immm (No. 71)
Inequivalent atoms, fractional coordinates:
Pr 0.0000 0.2135 0.1786 x8  3 Al 3.11-3.25
Pr 0.1851 0.2237 0.5000 x8  3 Al 3.24-3.35, 1 In 3.39
Pr 0.2029 0.5000 0.2557 x8  2 Al 3.14-3.36, 2 In 3.39-3.49
Al 0.0000 0.0000 0.3800 x4  1 Al 2.64
Al 0.1365 0.0000 0.0000 x4  1 Al 2.77
In 0.0000 0.5000 0.0000 x2  8 Pr 3.49-3.53
In 0.0000 0.5000 0.5000 x2  8 Pr 3.39, 2 Al 3.69

=====

Record 3
This record from Alexandria describes crystalline Pr3Al2In2 at its relaxed geometry. The functional is PBE-GGA.

Unit cell a=4.4316 b=4.5315 c=19.8971 alpha=90.00 beta=90.00 gamma=90.00
Last column: nearest neighbours and their distance in Å.
Space group Immm (No. 71)
Inequivalent atoms, fractional coordinates:
Pr 0.0000 0.0000 0.0000 x2  8 Al 3.41, 4 In 3.58
Pr 0.0000 0.5000 0.1861 x4  2 Al 3.29, 5 In 3.29-3.44
Al 0.0000 0.0000 0.4362 x4  1 Al 2.54, 2 In 2.74
In 0.0000 0.5000 0.3588 x4  2 Al 2.74

=====

Calculated ΔE_f (eV/f.u.), listed in the same order as above: -0.51, -2.29, -3.01
Calculated DOS at the Fermi energy (states/eV per cell), listed in the same order as above: 31.8, 40.5, 14.4